No. 1
A plane-wave DFT calculation with GGA-PBE was carried out for an optimized crystal structure of PmThScIn.

## Properties
DFT formation energy: -0.0826 eV/atom
E_tot: -5.39 eV per atom
space-group type: F-43m
magnetic moment: 0.00 μB/cell
ρ: 7.8 g/cm³

Cell lengths 5.4482, 5.4482, 5.4482 Å; angles 60.00, 60.00, 60.00 degrees
Fractional coordinates of all 4 atoms:
Sc 0.0000 0.0000 0.0000
In 0.5000 0.5000 0.5000
Th 0.7500 0.7500 0.7500
Pm 0.2500 0.2500 0.2500


No. 2
A plane-wave DFT calculation with GGA-PBE was carried out for an optimized crystal structure of PmScTiIn.

## Properties
DFT formation energy: -0.0757 eV/atom
E_tot: -5.50 eV per atom
space-group type: F-43m
magnetic moment: 2.67 μB/cell
ρ: 6.0 g/cm³

Cell lengths 5.1781, 5.1781, 5.1781 Å; angles 60.00, 60.00, 60.00 degrees
Site moments in Bohr magnetons follow the coordinates.
Fractional coordinates of all 4 atoms:
Sc 0.5000 0.5000 0.5000  0.29
In 0.7500 0.7500 0.7500  -0.04
Ti 0.2500 0.2500 0.2500  1.56
Pm 0.0000 0.0000 0.0000  0.16


No. 3
A plane-wave DFT calculation with GGA-PBE was carried out for an optimized crystal structure of PmScTlIn.

## Properties
DFT formation energy: -0.3714 eV/atom
E_tot: -4.42 eV per atom
space-group type: F-43m
magnetic moment: 0.00 μB/cell
ρ: 8.1 g/cm³

Cell lengths 5.2817, 5.2817, 5.2817 Å; angles 60.00, 60.00, 60.00 degrees
Fractional coordinates of all 4 atoms:
Sc 0.0000 0.0000 0.0000
Tl 0.2500 0.2500 0.2500
In 0.7500 0.7500 0.7500
Pm 0.5000 0.5000 0.5000


No. 4
A plane-wave DFT calculation with GGA-PBE was carried out for an optimized crystal structure of PmTmScIn.

## Properties
DFT formation energy: -0.0884 eV/atom
E_tot: -4.66 eV per atom
space-group type: F-43m
magnetic moment: 1.71 μB/cell
energy above the lowest structure with this stoichiometry: 0.066 eV/atom
ρ: 7.3 g/cm³

Cell lengths 5.3363, 5.3363, 5.3356 Å; angles 120.00, 120.00, 90.00 degrees
Site moments in Bohr magnetons follow the coordinates.
Fractional coordinates of all 4 atoms:
Pm 0.5000 0.5000 0.0000  0.44
Tm 0.7500 0.2500 0.5000  0.33
Sc 0.2500 0.7500 0.5000  0.38
In 0.0000 0.0000 0.0000  -0.01